# 1
Here is a geometry-optimized SmDy6Ho3 structure from Alexandria via LeMat-Bulk. Energies are from GGA-PBE.

Output
Excess energy over the best structure of this formula in the dataset   25 meV per atom
Calculated volume   32.07 A^3/atom
Formation energy from the elements   0.1492 eV/atom
N(E_F)   56.067 states/eV/cell
Calculated density   8.4 Mg/m³
Crystal system   orthorhombic

Lattice parameters (Å, degrees): 10.9877 18.9128 6.1728 90.00 90.00 90.00
Closest atoms and distances in Å follow each position.
Space group Cmc2_1 (No. 36)
Unique sites:
Sm 0.0000 0.2057 0.0000 x4  3 Ho 3.25-3.51, 7 Dy 3.27-3.43
Dy 0.0000 0.0461 0.7682 x4  1 Sm 3.34, 4 Ho 3.51-3.60, 2 Dy 3.55
Dy 0.0000 0.2821 0.4966 x4  4 Dy 3.22-3.38, 1 Ho 3.34, 2 Sm 3.39-3.43
Dy 0.1647 0.4541 0.3881 x8  4 Ho 3.39-3.60, 6 Dy 3.40-3.78
Dy 0.2476 0.2899 0.2184 x8  5 Dy 3.22-3.44, 2 Ho 3.27-3.56, 2 Sm 3.27-3.43
Ho 0.0000 0.3895 0.9253 x4  5 Dy 3.34-3.60, 1 Sm 3.51, 2 Ho 3.67
Ho 0.1717 0.1095 0.3118 x8  1 Sm 3.25, 6 Dy 3.27-3.60

# 2
Here is a geometry-optimized SmDy2Ho9 structure from Alexandria via LeMat-Bulk. Energies are from GGA-PBE.

Output
Excess energy over the best structure of this formula in the dataset   24 meV per atom
Calculated volume   31.46 A^3/atom
Formation energy from the elements   0.0459 eV/atom
N(E_F)   17.231 states/eV/cell
Calculated density   8.6 Mg/m³
Crystal system   hexagonal

Lattice parameters (Å, degrees): 11.1712 11.1712 3.4936 90.00 90.00 120.00
Closest atoms and distances in Å follow each position.
Space group P6/mmm (No. 191)
Unique sites:
Sm 0.0000 0.0000 0.0000 x1  2 Sm 3.49, 12 Ho 3.85
Dy 0.3333 0.6667 0.0000 x2  9 Ho 3.22-3.49, 2 Dy 3.49
Ho 0.0000 0.5000 0.0000 x3  2 Dy 3.22, 10 Ho 3.49-3.58
Ho 0.1773 0.3547 0.5000 x6  8 Ho 3.43-3.58, 2 Dy 3.49